(1)
This record from Alexandria via LeMat-Bulk describes GeSe2N at its PBEsol-relaxed geometry. The functional is meta-GGA SCAN.

Cell: 3.7498 3.7498 20.7752 Å, 90.00 90.00 120.00°
Fractional coordinates of all 12 atoms:
Ge 0.0000 0.0000 0.0000
Ge 0.3333 0.6667 0.6667
Ge 0.6667 0.3333 0.3333
Se 0.0000 0.0000 0.4153
Se 0.0000 0.0000 0.5847
Se 0.3333 0.6667 0.0819
Se 0.3333 0.6667 0.2514
Se 0.6667 0.3333 0.7486
Se 0.6667 0.3333 0.9181
N 0.0000 0.0000 0.5000
N 0.3333 0.6667 0.1667
N 0.6667 0.3333 0.8333

Output
space-group type: R-3m, No. 166
uncorrected formation energy: 762 meV per atom
magnetization: 0.00 μB/atom
total energy: -16.3722 eV per atom

=====

(2)
This record from Alexandria via LeMat-Bulk describes Ge2SeN2 at its PBEsol-relaxed geometry. The functional is meta-GGA SCAN.

Cell: 6.2821 6.2821 5.1253 Å, 90.00 90.00 55.27°
Fractional coordinates of all 10 atoms:
Ge 0.0320 0.3335 0.0000
Ge 0.3335 0.0320 0.5000
Ge 0.6665 0.9680 0.0000
Ge 0.9680 0.6665 0.5000
Se 0.2923 0.7077 0.6683
Se 0.7077 0.2923 0.1683
N 0.0870 0.3464 0.6509
N 0.3464 0.0870 0.1509
N 0.6536 0.9130 0.6509
N 0.9130 0.6536 0.1509

Output
space-group type: Cmc2_1, No. 36
uncorrected formation energy: -128 meV per atom
magnetization: 0.00 μB/atom
total energy: -15.4949 eV per atom

=====

(3)
This record from Alexandria via LeMat-Bulk describes SnGeSe2N at its PBEsol-relaxed geometry. The functional is meta-GGA SCAN.

Cell: 5.2700 5.2700 3.9681 Å, 90.00 90.00 90.00°
Fractional coordinates of all 5 atoms:
Sn 0.0000 0.0000 0.0000
Ge 0.5000 0.5000 0.5000
Se 0.0000 0.5000 0.0000
Se 0.5000 0.0000 0.0000
N 0.0000 0.0000 0.5000

Output
space-group type: P4/mmm, No. 123
uncorrected formation energy: 762 meV per atom
magnetization: 0.21 μB/atom
total energy: -20.1297 eV per atom

=====

(4)
This record from Alexandria via LeMat-Bulk describes GeWSe2N at its PBEsol-relaxed geometry. The functional is meta-GGA SCAN.

Cell: 5.0222 5.0222 3.7775 Å, 90.00 90.00 90.00°
Fractional coordinates of all 5 atoms:
Ge 0.0000 0.0000 0.0000
W 0.5000 0.5000 0.5000
Se 0.0000 0.5000 0.5000
Se 0.5000 0.0000 0.5000
N 0.5000 0.5000 0.0000

Output
space-group type: P4/mmm, No. 123
uncorrected formation energy: 266 meV per atom
magnetization: 0.00 μB/atom
total energy: -27.3791 eV per atom

=====

(5)
This record from Alexandria via LeMat-Bulk describes ZrGeSe2N at its PBEsol-relaxed geometry. The functional is meta-GGA SCAN.

Cell: 5.0245 5.0245 3.5266 Å, 90.00 90.00 90.00°
Fractional coordinates of all 5 atoms:
Zr 0.0000 0.0000 0.0000
Ge 0.5000 0.5000 0.5000
Se 0.0000 0.5000 0.5000
Se 0.5000 0.0000 0.5000
N 0.5000 0.5000 0.0000

Output
space-group type: P4/mmm, No. 123
uncorrected formation energy: 182 meV per atom
magnetization: 0.00 μB/atom
total energy: -19.6646 eV per atom

=====

(6)
This record from Alexandria via LeMat-Bulk describes Zn2SiGeN4 at its PBEsol-relaxed geometry. The functional is meta-GGA SCAN.

Cell: 5.3420 5.1026 6.3269 Å, 90.00 90.29 90.00°
Fractional coordinates of all 16 atoms:
Zn 0.0787 0.0000 0.3720
Zn 0.4101 0.5007 0.8784
Zn 0.5899 0.0007 0.1216
Zn 0.9213 0.5000 0.6280
Si 0.0746 0.9983 0.8786
Si 0.9254 0.4983 0.1214
Ge 0.4239 0.5020 0.3705
Ge 0.5761 0.0020 0.6295
N 0.0582 0.3424 0.9024
N 0.0902 0.3985 0.3496
N 0.3876 0.8969 0.8612
N 0.4350 0.8647 0.3870
N 0.5650 0.3647 0.6130
N 0.6124 0.3969 0.1388
N 0.9098 0.8985 0.6504
N 0.9418 0.8424 0.0976

Output
space-group type: P2_1, No. 4
uncorrected formation energy: -654 meV per atom
magnetization: 0.00 μB/atom
total energy: -12.3162 eV per atom

=====

(7)
This record from Alexandria via LeMat-Bulk describes SnGeN2 at its PBEsol-relaxed geometry. The functional is meta-GGA SCAN.

Cell: 5.6261 7.6901 5.0881 Å, 90.00 90.00 90.00°
Fractional coordinates of all 16 atoms:
Sn 0.2500 0.1213 0.0000
Sn 0.2500 0.3787 0.5000
Sn 0.7500 0.6213 0.5000
Sn 0.7500 0.8787 0.0000
Ge 0.2500 0.6316 0.0520
Ge 0.2500 0.8684 0.5520
Ge 0.7500 0.1316 0.5520
Ge 0.7500 0.3684 0.0520
N 0.0000 0.0000 0.7053
N 0.0000 0.5000 0.2053
N 0.2500 0.6440 0.6929
N 0.2500 0.8560 0.1929
N 0.5000 0.0000 0.7053
N 0.5000 0.5000 0.2053
N 0.7500 0.1440 0.1929
N 0.7500 0.3560 0.6929

Output
space-group type: Ima2, No. 46
uncorrected formation energy: 55 meV per atom
magnetization: 0.00 μB/atom
total energy: -18.3431 eV per atom

=====

(8)
This record from Alexandria via LeMat-Bulk describes Sr4GeN4 at its PBEsol-relaxed geometry. The functional is meta-GGA SCAN.

Cell: 6.0474 11.7052 9.7631 Å, 90.00 90.00 90.00°
Fractional coordinates of all 36 atoms:
Sr 0.1174 0.1285 0.1031
Sr 0.1174 0.3715 0.3969
Sr 0.1433 0.2500 0.7500
Sr 0.2500 0.0000 0.4278
Sr 0.2500 0.5000 0.0722
Sr 0.3567 0.7500 0.7500
Sr 0.3826 0.6285 0.3969
Sr 0.3826 0.8715 0.1031
Sr 0.6174 0.1285 0.8969
Sr 0.6174 0.3715 0.6031
Sr 0.6433 0.2500 0.2500
Sr 0.7500 0.0000 0.5722
Sr 0.7500 0.5000 0.9278
Sr 0.8567 0.7500 0.2500
Sr 0.8826 0.6285 0.6031
Sr 0.8826 0.8715 0.8969
Ge 0.2500 0.0000 0.7465
Ge 0.2500 0.5000 0.7535
Ge 0.7500 0.0000 0.2535
Ge 0.7500 0.5000 0.2465
N 0.0145 0.0707 0.8530
N 0.0145 0.4293 0.6470
N 0.0972 0.6137 0.8579
N 0.0972 0.8863 0.6421
N 0.4028 0.1137 0.6421
N 0.4028 0.3863 0.8579
N 0.4855 0.5707 0.6470
N 0.4855 0.9293 0.8530
N 0.5145 0.0707 0.1470
N 0.5145 0.4293 0.3530
N 0.5972 0.6137 0.1421
N 0.5972 0.8863 0.3579
N 0.9028 0.1137 0.3579
N 0.9028 0.3863 0.1421
N 0.9855 0.5707 0.3530
N 0.9855 0.9293 0.1470

Output
space-group type: Pnna, No. 52
uncorrected formation energy: -700 meV per atom
magnetization: 0.00 μB/atom
total energy: -16.8509 eV per atom

=====

(9)
This record from Alexandria via LeMat-Bulk describes Sr4GeN4 at its PBEsol-relaxed geometry. The functional is meta-GGA SCAN.

Cell: 6.8003 6.8003 8.4605 Å, 97.67 97.67 121.18°
Fractional coordinates of all 18 atoms:
Sr 0.0355 0.2608 0.4422
Sr 0.1188 0.4120 0.8658
Sr 0.2608 0.0355 0.9422
Sr 0.4120 0.1188 0.3658
Sr 0.5880 0.8812 0.6342
Sr 0.7392 0.9645 0.0578
Sr 0.8812 0.5880 0.1342
Sr 0.9645 0.7392 0.5578
Ge 0.3758 0.6242 0.2500
Ge 0.6242 0.3758 0.7500
N 0.2127 0.2917 0.1594
N 0.2216 0.6829 0.4082
N 0.2917 0.2127 0.6594
N 0.3171 0.7784 0.0918
N 0.6829 0.2216 0.9082
N 0.7083 0.7873 0.3406
N 0.7784 0.3171 0.5918
N 0.7873 0.7083 0.8406

Output
space-group type: C2/c, No. 15
uncorrected formation energy: -786 meV per atom
magnetization: 0.00 μB/atom
total energy: -16.9360 eV per atom

=====

(10)
This record from Alexandria via LeMat-Bulk describes TcGe3N at its PBEsol-relaxed geometry. The functional is meta-GGA SCAN.

Cell: 4.7090 4.7090 4.7090 Å, 90.00 90.00 90.00°
Fractional coordinates of all 5 atoms:
Tc 0.0000 0.0000 0.0000
Ge 0.0000 0.0000 0.5000
Ge 0.0000 0.5000 0.0000
Ge 0.5000 0.0000 0.0000
N 0.5000 0.5000 0.5000

Output
space-group type: Pm-3m, No. 221
uncorrected formation energy: 1029 meV per atom
magnetization: 0.40 μB/atom
total energy: -19.2938 eV per atom

=====

(11)
This record from Alexandria via LeMat-Bulk describes TcGeTe2N at its PBEsol-relaxed geometry. The functional is meta-GGA SCAN.

Cell: 5.4272 5.4272 3.4444 Å, 90.00 90.00 90.00°
Fractional coordinates of all 5 atoms:
Tc 0.0000 0.0000 0.0000
Ge 0.5000 0.5000 0.5000
Te 0.0000 0.5000 0.5000
Te 0.5000 0.0000 0.5000
N 0.5000 0.5000 0.0000

Output
space-group type: P4/mmm, No. 123
uncorrected formation energy: 1078 meV per atom
magnetization: 0.70 μB/atom
total energy: -26.5103 eV per atom

=====

(12)
This record from Alexandria via LeMat-Bulk describes Y2TcGeN at its PBEsol-relaxed geometry. The functional is meta-GGA SCAN.

Cell: 4.7746 4.7746 3.8821 Å, 90.00 90.00 90.00°
Fractional coordinates of all 5 atoms:
Y 0.0000 0.5000 0.0000
Y 0.5000 0.0000 0.0000
Tc 0.0000 0.0000 0.5000
Ge 0.5000 0.5000 0.5000
N 0.0000 0.0000 0.0000

Output
space-group type: P4/mmm, No. 123
uncorrected formation energy: -898 meV per atom
magnetization: 0.00 μB/atom
total energy: -24.7229 eV per atom

=====

(13)
This record from Alexandria via LeMat-Bulk describes GeTeN2 at its PBEsol-relaxed geometry. The functional is meta-GGA SCAN.

Cell: 5.2483 5.2483 8.4253 Å, 90.00 90.00 90.00°
Fractional coordinates of all 16 atoms:
Ge 0.0000 0.0000 0.0000
Ge 0.0000 0.5000 0.2500
Ge 0.5000 0.0000 0.7500
Ge 0.5000 0.5000 0.5000
Te 0.0000 0.0000 0.5000
Te 0.0000 0.5000 0.7500
Te 0.5000 0.0000 0.2500
Te 0.5000 0.5000 0.0000
N 0.1537 0.7500 0.1250
N 0.2500 0.1537 0.8750
N 0.2500 0.3463 0.3750
N 0.3463 0.7500 0.6250
N 0.6537 0.2500 0.6250
N 0.7500 0.6537 0.3750
N 0.7500 0.8463 0.8750
N 0.8463 0.2500 0.1250

Output
space-group type: I-42d, No. 122
uncorrected formation energy: 656 meV per atom
magnetization: 0.00 μB/atom
total energy: -18.0741 eV per atom

=====

(14)
This record from Alexandria via LeMat-Bulk describes GeTe3N at its PBEsol-relaxed geometry. The functional is meta-GGA SCAN.

Cell: 4.7443 4.7443 4.7443 Å, 90.00 90.00 90.00°
Fractional coordinates of all 5 atoms:
Ge 0.0000 0.0000 0.0000
Te 0.0000 0.5000 0.5000
Te 0.5000 0.0000 0.5000
Te 0.5000 0.5000 0.0000
N 0.5000 0.5000 0.5000

Output
space-group type: Pm-3m, No. 221
uncorrected formation energy: 780 meV per atom
magnetization: 0.00 μB/atom
total energy: -27.2460 eV per atom

=====

(15)
This record from Alexandria via LeMat-Bulk describes YGeTeN2 at its PBEsol-relaxed geometry. The functional is meta-GGA SCAN.

Cell: 4.3822 4.3822 6.0648 Å, 90.00 90.00 90.00°
Fractional coordinates of all 5 atoms:
Y 0.0000 0.0000 0.0000
Ge 0.5000 0.5000 0.5000
Te 0.0000 0.0000 0.5000
N 0.0000 0.5000 0.0000
N 0.5000 0.0000 0.0000

Output
space-group type: P4/mmm, No. 123
uncorrected formation energy: 661 meV per atom
magnetization: 0.60 μB/atom
total energy: -19.8918 eV per atom

=====

(16)
This record from Alexandria via LeMat-Bulk describes TlGe2N at its PBEsol-relaxed geometry. The functional is meta-GGA SCAN.

Cell: 6.5417 6.5417 6.5417 Å, 90.00 90.00 90.00°
Fractional coordinates of all 16 atoms:
Tl 0.0000 0.0000 0.0000
Tl 0.0000 0.5000 0.5000
Tl 0.5000 0.0000 0.5000
Tl 0.5000 0.5000 0.0000
Ge 0.2500 0.2500 0.2500
Ge 0.2500 0.2500 0.7500
Ge 0.2500 0.7500 0.2500
Ge 0.2500 0.7500 0.7500
Ge 0.7500 0.2500 0.2500
Ge 0.7500 0.2500 0.7500
Ge 0.7500 0.7500 0.2500
Ge 0.7500 0.7500 0.7500
N 0.0000 0.0000 0.5000
N 0.0000 0.5000 0.0000
N 0.5000 0.0000 0.0000
N 0.5000 0.5000 0.5000

Output
space-group type: Fm-3m, No. 225
uncorrected formation energy: 1387 meV per atom
magnetization: 0.00 μB/atom
total energy: -28.5689 eV per atom

=====

(17)
This record from Alexandria via LeMat-Bulk describes ZnGeN3 at its PBEsol-relaxed geometry. The functional is meta-GGA SCAN.

Cell: 3.7836 3.7836 3.7836 Å, 90.00 90.00 90.00°
Fractional coordinates of all 5 atoms:
Zn 0.0000 0.0000 0.0000
Ge 0.5000 0.5000 0.5000
N 0.0000 0.5000 0.5000
N 0.5000 0.0000 0.5000
N 0.5000 0.5000 0.0000

Output
space-group type: Pm-3m, No. 221
uncorrected formation energy: 1425 meV per atom
magnetization: 0.61 μB/atom
total energy: -10.6705 eV per atom

=====

(18)
This record from Alexandria via LeMat-Bulk describes NaNbGeO5 at its PBEsol-relaxed geometry. The functional is meta-GGA SCAN.

Cell: 6.8145 8.9509 7.5705 Å, 90.00 115.36 90.00°
Fractional coordinates of all 32 atoms:
Na 0.2402 0.0812 0.2037
Na 0.2402 0.4188 0.7037
Na 0.7598 0.5812 0.2963
Na 0.7598 0.9188 0.7963
Nb 0.2602 0.7390 0.9802
Nb 0.2602 0.7610 0.4802
Nb 0.7398 0.2390 0.5198
Nb 0.7398 0.2610 0.0198
Ge 0.2451 0.0624 0.7473
Ge 0.2451 0.4376 0.2473
Ge 0.7549 0.5624 0.7527
Ge 0.7549 0.9376 0.2527
O 0.0465 0.1803 0.5807
O 0.0465 0.3197 0.0807
O 0.1504 0.5491 0.3861
O 0.1504 0.9509 0.8861
O 0.2530 0.6786 0.7453
O 0.2530 0.8214 0.2453
O 0.3634 0.5464 0.1255
O 0.3634 0.9536 0.6255
O 0.4353 0.1885 0.9098
O 0.4353 0.3115 0.4098
O 0.5647 0.6885 0.5902
O 0.5647 0.8115 0.0902
O 0.6366 0.0464 0.3745
O 0.6366 0.4536 0.8745
O 0.7470 0.1786 0.7547
O 0.7470 0.3214 0.2547
O 0.8496 0.0491 0.1139
O 0.8496 0.4509 0.6139
O 0.9535 0.6803 0.9193
O 0.9535 0.8197 0.4193

Output
space-group type: P2_1/c, No. 14
uncorrected formation energy: -2326 meV per atom
magnetization: 0.00 μB/atom
total energy: -13.2747 eV per atom

=====

(19)
This record from Alexandria via LeMat-Bulk describes Na2NbTcGe at its PBEsol-relaxed geometry. The functional is meta-GGA SCAN.

Cell: 4.8486 4.8486 4.7391 Å, 90.00 90.00 90.00°
Fractional coordinates of all 5 atoms:
Na 0.0000 0.5000 0.0000
Na 0.5000 0.0000 0.0000
Nb 0.0000 0.0000 0.5000
Tc 0.5000 0.5000 0.5000
Ge 0.5000 0.5000 0.0000

Output
formation energy from the elements: 1228.6 meV/atom
space-group type: P4/mmm, No. 123
magnetization: 0.36 μB/atom
total energy: -17.9128 eV per atom

=====

(20)
This record from Alexandria via LeMat-Bulk describes NaNd9Ge6O26 at its PBEsol-relaxed geometry. The functional is meta-GGA SCAN.

Cell: 9.6803 9.6803 7.1269 Å, 90.00 90.00 120.00°
Fractional coordinates of all 42 atoms:
Na 0.0000 0.0000 0.0000
Nd 0.0000 0.0000 0.5042
Nd 0.0937 0.4398 0.2562
Nd 0.1003 0.6749 0.7583
Nd 0.3251 0.4254 0.7583
Nd 0.3461 0.9063 0.2562
Nd 0.5602 0.6539 0.2562
Nd 0.5746 0.8997 0.7583
Nd 0.6667 0.3333 0.0080
Nd 0.6667 0.3333 0.5085
Ge 0.3002 0.2625 0.2551
Ge 0.3572 0.0642 0.7575
Ge 0.7070 0.6428 0.7575
Ge 0.7375 0.0378 0.2551
Ge 0.9358 0.2930 0.7575
Ge 0.9622 0.6998 0.2551
O 0.0348 0.1864 0.7553
O 0.0840 0.7711 0.4568
O 0.1039 0.7403 0.0778
O 0.1516 0.9652 0.7553
O 0.2023 0.0548 0.2547
O 0.2289 0.3129 0.4568
O 0.2597 0.3636 0.0778
O 0.3333 0.6667 0.2926
O 0.3333 0.6667 0.7644
O 0.4391 0.0160 0.5622
O 0.4386 0.0188 0.9534
O 0.4649 0.2753 0.7582
O 0.5095 0.3481 0.2592
O 0.5768 0.5609 0.5622
O 0.5802 0.5614 0.9534
O 0.6364 0.8961 0.0778
O 0.6519 0.1614 0.2592
O 0.6871 0.9160 0.4568
O 0.7247 0.1896 0.7582
O 0.8104 0.5351 0.7582
O 0.8136 0.8484 0.7553
O 0.8386 0.4905 0.2592
O 0.8525 0.7977 0.2547
O 0.9452 0.1475 0.2547
O 0.9812 0.4198 0.9534
O 0.9840 0.4232 0.5622

Output
space-group type: P3, No. 143
uncorrected formation energy: -2948 meV per atom
magnetization: 0.00 μB/atom
total energy: -18.9719 eV per atom